CaCdHO2: optimized geometry, PBE.

Results
Its raw total energy is -3.137 eV/atom. The value obtained for the volume is 137.1 Å³/cell. As for the spin magnetization: 0.08 μB per formula unit. Its space-group type is P4/mmm. The crystal system is tetragonal.

Geometry as POSCAR:
```
CaCdHO2
1.0
-4.022 -0.430 -1.213
1.205 -7.469 -1.348
-1.103 -0.896 3.977
H Ca Cd O
1 1 1 2
Cartesian
-1.960 -4.398 0.708
0.000 0.000 0.000
0.603 -3.735 -0.674
-2.011 -0.215 -0.606
-0.552 -0.448 1.988
```